Here is a crystal of Li2MnSnO4 relaxed with PBEsol from Alexandria. Energies are from SCAN.

Properties
E above lowest polymorph: 0.00 eV/f.u.
DOS(E_F): 0.08 states/eV per atom

The structure in CIF format:
```
data_Li2MnSnO4
_chemical_formula_sum 'Li4 Mn2 Sn2 O8'
_cell_length_a 4.207
_cell_length_b 4.207
_cell_length_c 9.176
_cell_angle_alpha 90.00
_cell_angle_beta 90.00
_cell_angle_gamma 90.00
_space_group_name_H-M_alt 'I -4 m 2'
_space_group_IT_number 119
_space_group_name_Hall 'I -4 -2'
loop_
_atom_site_label
_atom_site_fract_x
_atom_site_fract_y
_atom_site_fract_z
Li1 0.000 0.000 0.000
Li2 0.000 0.500 0.250
Mn1 0.000 0.000 0.500
Sn1 0.000 0.500 0.750
O1 0.000 0.000 0.256
O2 0.000 0.500 0.522
```



Here is a crystal of Li2Mn2SnO6 relaxed with PBEsol from Alexandria. Energies are from SCAN.

Properties
DOS(E_F): 0.00 states/eV per atom

The structure in CIF format:
```
data_Li2Mn2SnO6
_chemical_formula_sum 'Li8 Mn8 Sn4 O24'
_cell_length_a 8.809
_cell_length_b 5.515
_cell_length_c 10.124
_cell_angle_alpha 90.00
_cell_angle_beta 90.00
_cell_angle_gamma 90.00
_space_group_name_H-M_alt 'C m c e'
_space_group_IT_number 64
_space_group_name_Hall '-C 2ac 2'
loop_
_atom_site_label
_atom_site_fract_x
_atom_site_fract_y
_atom_site_fract_z
Li1 0.250 0.146 0.250
Mn1 0.163 0.000 0.000
Sn1 0.000 0.000 0.500
O1 0.000 0.159 0.908
O2 0.182 0.123 0.613
```



Here is a crystal of Li3Mn2SnO6 relaxed with PBEsol from Alexandria. Energies are from SCAN.

Properties
E above lowest polymorph: 0.00 eV/f.u.

The structure in CIF format:
```
data_Li3Mn2SnO6
_chemical_formula_sum 'Li6 Mn4 Sn2 O12'
_cell_length_a 5.990
_cell_length_b 6.092
_cell_length_c 6.809
_cell_angle_alpha 102.94
_cell_angle_beta 101.08
_cell_angle_gamma 90.65
_space_group_name_H-M_alt 'P -1'
_space_group_IT_number 2
_space_group_name_Hall '-P 1'
loop_
_atom_site_label
_atom_site_fract_x
_atom_site_fract_y
_atom_site_fract_z
Li1 0.000 0.000 0.000
Li2 0.000 0.500 0.000
Li3 0.320 0.331 0.337
Li4 0.334 0.809 0.350
Mn1 0.149 0.165 0.658
Mn2 0.156 0.660 0.664
Sn1 0.500 0.000 0.000
Sn2 0.500 0.500 0.000
O1 0.057 0.107 0.331
O2 0.069 0.563 0.326
O3 0.263 0.248 0.003
O4 0.271 0.755 0.029
O5 0.398 0.896 0.679
O6 0.399 0.435 0.682
```



Here is a crystal of Li4Mn3Sn5O16 relaxed with PBEsol from Alexandria. Energies are from SCAN.

Properties
DOS(E_F): 0.16 states/eV per atom

The structure in CIF format:
```
data_Li4Mn3Sn5O16
_chemical_formula_sum 'Li8 Mn6 Sn10 O32'
_cell_length_a 10.692
_cell_length_b 6.051
_cell_length_c 9.829
_cell_angle_alpha 90.00
_cell_angle_beta 91.55
_cell_angle_gamma 90.00
_space_group_name_H-M_alt 'C 1 m 1'
_space_group_IT_number 8
_space_group_name_Hall 'C -2y'
loop_
_atom_site_label
_atom_site_fract_x
_atom_site_fract_y
_atom_site_fract_z
Li1 0.000 0.000 0.000
Li2 0.014 0.000 0.512
Li3 0.163 0.500 0.092
Li4 0.334 0.000 0.602
Mn1 0.080 0.256 0.785
Mn2 0.166 0.000 0.283
Sn1 0.161 0.500 0.511
Sn2 0.322 0.000 0.002
Sn3 0.326 0.500 0.781
Sn4 0.411 0.247 0.282
O1 0.002 0.000 0.695
O2 0.019 0.500 0.661
O3 0.076 0.246 0.401
O4 0.153 0.000 0.895
O5 0.158 0.500 0.886
O6 0.244 0.274 0.647
O7 0.256 0.228 0.151
O8 0.329 0.000 0.394
O9 0.336 0.500 0.400
O10 0.409 0.256 0.903
O11 0.480 0.000 0.154
O12 0.499 0.500 0.185
```



Here is a crystal of LiMnSnO4 relaxed with PBEsol from Alexandria. Energies are from SCAN.

The structure in CIF format:
```
data_LiMnSnO4
_chemical_formula_sum 'Li4 Mn4 Sn4 O16'
_cell_length_a 5.770
_cell_length_b 6.159
_cell_length_c 9.052
_cell_angle_alpha 90.00
_cell_angle_beta 90.00
_cell_angle_gamma 90.00
_space_group_name_H-M_alt 'I m m a'
_space_group_IT_number 74
_space_group_name_Hall '-I 2b 2'
loop_
_atom_site_label
_atom_site_fract_x
_atom_site_fract_y
_atom_site_fract_z
Li1 0.000 0.250 0.134
Mn1 0.250 0.250 0.750
Sn1 0.000 0.000 0.500
O1 0.000 0.039 0.734
O2 0.238 0.250 0.500
```



Here is a crystal of Li2MnSnO4 relaxed with PBEsol from Alexandria. Energies are from SCAN.

Properties
E above lowest polymorph: 0.12 eV/f.u.

The structure in CIF format:
```
data_Li2MnSnO4
_chemical_formula_sum 'Li2 Mn1 Sn1 O4'
_cell_length_a 5.235
_cell_length_b 3.095
_cell_length_c 5.409
_cell_angle_alpha 90.00
_cell_angle_beta 110.42
_cell_angle_gamma 90.00
_space_group_name_H-M_alt 'P 1 2/m 1'
_space_group_IT_number 10
_space_group_name_Hall '-P 2y'
loop_
_atom_site_label
_atom_site_fract_x
_atom_site_fract_y
_atom_site_fract_z
Li1 0.000 0.000 0.000
Li2 0.000 0.500 0.500
Mn1 0.500 0.000 0.500
Sn1 0.500 0.500 0.000
O1 0.256 0.000 0.765
O2 0.270 0.500 0.240
```



Here is a crystal of Li3Mn2SnO6 relaxed with PBEsol from Alexandria. Energies are from SCAN.

Properties
E above lowest polymorph: 0.15 eV/f.u.
DOS(E_F): 0.32 states/eV per atom

The structure in CIF format:
```
data_Li3Mn2SnO6
_chemical_formula_sum 'Li6 Mn4 Sn2 O12'
_cell_length_a 13.421
_cell_length_b 3.011
_cell_length_c 5.969
_cell_angle_alpha 90.00
_cell_angle_beta 101.50
_cell_angle_gamma 90.00
_space_group_name_H-M_alt 'C 1 2/m 1'
_space_group_IT_number 12
_space_group_name_Hall '-C 2y'
loop_
_atom_site_label
_atom_site_fract_x
_atom_site_fract_y
_atom_site_fract_z
Li1 0.000 0.000 0.000
Li2 0.170 0.500 0.323
Mn1 0.170 0.500 0.847
Sn1 0.000 0.000 0.500
O1 0.007 0.500 0.264
O2 0.159 0.000 0.602
O3 0.166 0.000 0.067
```



Here is a crystal of Li2MnSnO4 relaxed with PBEsol from Alexandria. Energies are from SCAN.

Properties
E above lowest polymorph: 0.16 eV/f.u.
DOS(E_F): 0.01 states/eV per atom

The structure in CIF format:
```
data_Li2MnSnO4
_chemical_formula_sum 'Li8 Mn4 Sn4 O16'
_cell_length_a 6.107
_cell_length_b 6.166
_cell_length_c 8.794
_cell_angle_alpha 90.00
_cell_angle_beta 90.00
_cell_angle_gamma 90.00
_space_group_name_H-M_alt 'I m m a'
_space_group_IT_number 74
_space_group_name_Hall '-I 2b 2'
loop_
_atom_site_label
_atom_site_fract_x
_atom_site_fract_y
_atom_site_fract_z
Li1 0.000 0.000 0.000
Li2 0.250 0.250 0.250
Mn1 0.250 0.250 0.750
Sn1 0.000 0.000 0.500
O1 0.000 0.005 0.734
O2 0.239 0.250 0.498
```



Here is a crystal of Li4Ti2Mn3Sn3O16 relaxed with PBEsol from Alexandria. Energies are from SCAN.

Properties
DOS(E_F): 0.11 states/eV per atom

The structure in CIF format:
```
data_Li4Ti2Mn3Sn3O16
_chemical_formula_sum 'Li8 Ti4 Mn6 Sn6 O32'
_cell_length_a 10.415
_cell_length_b 6.103
_cell_length_c 9.622
_cell_angle_alpha 90.00
_cell_angle_beta 91.10
_cell_angle_gamma 90.00
_space_group_name_H-M_alt 'C 1 m 1'
_space_group_IT_number 8
_space_group_name_Hall 'C -2y'
loop_
_atom_site_label
_atom_site_fract_x
_atom_site_fract_y
_atom_site_fract_z
Li1 0.000 0.000 0.000
Li2 0.000 0.000 0.490
Li3 0.156 0.500 0.901
Li4 0.307 0.000 0.393
Ti1 0.129 0.500 0.485
Ti2 0.315 0.000 0.996
Mn1 0.068 0.258 0.214
Mn2 0.159 0.000 0.717
Sn1 0.316 0.500 0.215
Sn2 0.402 0.247 0.715
O1 0.069 0.257 0.593
O2 0.141 0.500 0.109
O3 0.168 0.000 0.089
O4 0.218 0.280 0.341
O5 0.254 0.222 0.853
O6 0.314 0.000 0.600
O7 0.326 0.500 0.592
O8 0.410 0.252 0.099
O9 0.476 0.000 0.841
O10 0.495 0.500 0.814
O11 0.497 0.000 0.358
O12 0.497 0.500 0.304
```



Here is a crystal of Li4Ti3Mn3Sn2O16 relaxed with PBEsol from Alexandria. Energies are from SCAN.

Properties
DOS(E_F): 0.20 states/eV per atom

The structure in CIF format:
```
data_Li4Ti3Mn3Sn2O16
_chemical_formula_sum 'Li8 Ti6 Mn6 Sn4 O32'
_cell_length_a 10.148
_cell_length_b 5.845
_cell_length_c 9.770
_cell_angle_alpha 90.00
_cell_angle_beta 90.62
_cell_angle_gamma 90.00
_space_group_name_H-M_alt 'C 1 m 1'
_space_group_IT_number 8
_space_group_name_Hall 'C -2y'
loop_
_atom_site_label
_atom_site_fract_x
_atom_site_fract_y
_atom_site_fract_z
Li1 0.000 0.000 0.000
Li2 0.016 0.000 0.497
Li3 0.166 0.500 0.089
Li4 0.343 0.000 0.594
Ti1 0.336 0.500 0.771
Ti2 0.418 0.246 0.275
Mn1 0.089 0.255 0.776
Mn2 0.188 0.000 0.279
Sn1 0.173 0.500 0.499
Sn2 0.330 0.000 0.998
O1 0.010 0.000 0.683
O2 0.013 0.000 0.187
O3 0.025 0.500 0.648
O4 0.093 0.236 0.384
O5 0.157 0.000 0.893
O6 0.168 0.500 0.879
O7 0.258 0.278 0.647
O8 0.260 0.227 0.153
O9 0.346 0.500 0.387
O10 0.353 0.000 0.391
O11 0.412 0.262 0.892
O12 0.484 0.000 0.153
```



Here is a crystal of Li4Ti3Mn2Sn3O16 relaxed with PBEsol from Alexandria. Energies are from SCAN.

The structure in CIF format:
```
data_Li4Ti3Mn2Sn3O16
_chemical_formula_sum 'Li8 Ti6 Mn4 Sn6 O32'
_cell_length_a 10.541
_cell_length_b 6.051
_cell_length_c 9.794
_cell_angle_alpha 90.00
_cell_angle_beta 90.53
_cell_angle_gamma 90.00
_space_group_name_H-M_alt 'C 1 m 1'
_space_group_IT_number 8
_space_group_name_Hall 'C -2y'
loop_
_atom_site_label
_atom_site_fract_x
_atom_site_fract_y
_atom_site_fract_z
Li1 0.000 0.000 0.000
Li2 0.008 0.000 0.506
Li3 0.154 0.500 0.109
Li4 0.319 0.000 0.614
Ti1 0.073 0.255 0.786
Ti2 0.162 0.000 0.282
Mn1 0.156 0.500 0.505
Mn2 0.321 0.000 0.998
Sn1 0.320 0.500 0.787
Sn2 0.407 0.247 0.287
O1 0.004 0.500 0.679
O2 0.078 0.234 0.398
O3 0.149 0.000 0.891
O4 0.149 0.500 0.899
O5 0.223 0.272 0.668
O6 0.242 0.222 0.170
O7 0.320 0.000 0.404
O8 0.339 0.500 0.407
O9 0.417 0.263 0.898
O10 0.473 0.000 0.163
O11 0.494 0.500 0.686
O12 0.496 0.500 0.182
```



Here is a crystal of Li4Mn3V3Sn2O16 relaxed with PBEsol from Alexandria. Energies are from SCAN.

Properties
DOS(E_F): 0.19 states/eV per atom

The structure in CIF format:
```
data_Li4Mn3V3Sn2O16
_chemical_formula_sum 'Li8 Mn6 V6 Sn4 O32'
_cell_length_a 10.173
_cell_length_b 5.768
_cell_length_c 9.668
_cell_angle_alpha 90.00
_cell_angle_beta 90.57
_cell_angle_gamma 90.00
_space_group_name_H-M_alt 'C 1 m 1'
_space_group_IT_number 8
_space_group_name_Hall 'C -2y'
loop_
_atom_site_label
_atom_site_fract_x
_atom_site_fract_y
_atom_site_fract_z
Li1 0.000 0.000 0.000
Li2 0.003 0.000 0.498
Li3 0.168 0.500 0.599
Li4 0.334 0.000 0.093
Mn1 0.338 0.500 0.277
Mn2 0.417 0.245 0.778
V1 0.089 0.265 0.278
V2 0.170 0.000 0.775
Sn1 0.169 0.500 0.999
Sn2 0.336 0.000 0.501
O1 0.008 0.000 0.187
O2 0.016 0.500 0.150
O3 0.079 0.238 0.889
O4 0.162 0.000 0.392
O5 0.174 0.500 0.389
O6 0.242 0.273 0.158
O7 0.262 0.227 0.660
O8 0.335 0.000 0.882
O9 0.342 0.500 0.891
O10 0.425 0.257 0.391
O11 0.485 0.000 0.657
O12 0.499 0.500 0.684
```



Respective calculated volume values: 10.1; 11.2; 9.9; 11.4; 11.5; 10.3; 9.8; 10.3; 10.9; 10.3; 11.2; 10.1 Å³/atom.
Respective uncorrected energy values: -12.4760; -12.4717; -11.7950; -14.2460; -13.6637; -12.4613; -11.7825; -12.4565; -13.1349; -12.6007; -13.1614; -12.5750 eV/atom.